Tb6As5Cl: relaxed, GGA-PBE.

Geometry as POSCAR:
```
Tb6As5Cl
1.0
-4.3654 5.6080 0.6300
-6.7098 -2.0246 -1.4567
-4.2406 -2.3725 5.2420
Cl Tb As
1 6 5
Direct
0.0000 0.0000 0.0000
0.2572 0.2615 0.0000
0.2575 0.5666 0.3474
0.7425 0.4334 0.6526
0.7425 0.0860 0.3474
0.2575 0.9140 0.6526
0.7428 0.7385 0.0000
0.0000 0.6673 0.6654
0.5000 0.1625 0.6750
0.5000 0.8375 0.3250
0.5000 0.5000 0.0000
0.0000 0.3327 0.3346
```

Computed properties:
The uncorrected formation energy comes out at -1574 meV/atom. The space group is No. 12. Its volume is 298 Å³/cell.